LaTbSi2Pd2 | PBE | optimized geometry

- Volume: 128.0 Å³/f.u.
- N(E_F): 0.75 states/eV/atom
- Energy relative to the elements, uncorrected: -0.927 eV/atom
- Total moment: 0.00 Bohr magnetons per cell
- Electronic total energy: -6.059 eV/atom

Unit cell a=4.2343 b=4.2343 c=8.2439 alpha=90.00 beta=90.00 gamma=120.00
Fractional positions:
La (0.0000, 0.0000, 0.0000)
Tb (0.0000, 0.0000, 0.5000)
Si (0.3333, 0.6667, 0.2582)
Si (0.6667, 0.3333, 0.7418)
Pd (0.3333, 0.6667, 0.7293)
Pd (0.6667, 0.3333, 0.2707)